Material: Li3Pa5N12
Method: DFT, PBE
State: relaxed

Cell: 11.949 11.949 11.949 Å, 109.47 109.47 109.47°
Sites, in units of the cell vectors:
Li (0.125, 0.250, 0.375)
Li (0.125, 0.375, 0.750)
Li (0.250, 0.375, 0.125)
Li (0.250, 0.875, 0.625)
Li (0.375, 0.125, 0.250)
Li (0.375, 0.750, 0.125)
Li (0.625, 0.250, 0.875)
Li (0.625, 0.875, 0.750)
Li (0.750, 0.125, 0.375)
Li (0.750, 0.625, 0.875)
Li (0.875, 0.625, 0.250)
Li (0.875, 0.750, 0.625)
Pa (0.000, 0.000, 0.000)
Pa (0.000, 0.000, 0.500)
Pa (0.000, 0.500, 0.000)
Pa (0.000, 0.500, 0.500)
Pa (0.125, 0.750, 0.875)
Pa (0.125, 0.875, 0.250)
Pa (0.250, 0.125, 0.875)
Pa (0.250, 0.625, 0.375)
Pa (0.375, 0.250, 0.625)
Pa (0.375, 0.625, 0.750)
Pa (0.500, 0.000, 0.000)
Pa (0.500, 0.000, 0.500)
Pa (0.500, 0.500, 0.000)
Pa (0.500, 0.500, 0.500)
Pa (0.625, 0.375, 0.250)
Pa (0.625, 0.750, 0.375)
Pa (0.750, 0.375, 0.625)
Pa (0.750, 0.875, 0.125)
Pa (0.875, 0.125, 0.750)
Pa (0.875, 0.250, 0.125)
N (0.022, 0.205, 0.102)
N (0.022, 0.317, 0.920)
N (0.080, 0.602, 0.397)
N (0.080, 0.978, 0.683)
N (0.102, 0.022, 0.205)
N (0.102, 0.580, 0.897)
N (0.103, 0.705, 0.683)
N (0.103, 0.898, 0.420)
N (0.183, 0.205, 0.603)
N (0.183, 0.478, 0.580)
N (0.205, 0.102, 0.022)
N (0.205, 0.603, 0.183)
N (0.295, 0.317, 0.897)
N (0.295, 0.478, 0.398)
N (0.317, 0.897, 0.295)
N (0.317, 0.920, 0.022)
N (0.397, 0.080, 0.602)
N (0.397, 0.817, 0.795)
N (0.398, 0.295, 0.478)
N (0.398, 0.603, 0.920)
N (0.420, 0.103, 0.898)
N (0.420, 0.817, 0.522)
N (0.478, 0.398, 0.295)
N (0.478, 0.580, 0.183)
N (0.522, 0.420, 0.817)
N (0.522, 0.602, 0.705)
N (0.580, 0.183, 0.478)
N (0.580, 0.897, 0.102)
N (0.602, 0.397, 0.080)
N (0.602, 0.705, 0.522)
N (0.603, 0.183, 0.205)
N (0.603, 0.920, 0.398)
N (0.683, 0.080, 0.978)
N (0.683, 0.103, 0.705)
N (0.705, 0.522, 0.602)
N (0.705, 0.683, 0.103)
N (0.795, 0.397, 0.817)
N (0.795, 0.898, 0.978)
N (0.817, 0.522, 0.420)
N (0.817, 0.795, 0.397)
N (0.897, 0.102, 0.580)
N (0.897, 0.295, 0.317)
N (0.898, 0.420, 0.103)
N (0.898, 0.978, 0.795)
N (0.920, 0.022, 0.317)
N (0.920, 0.398, 0.603)
N (0.978, 0.683, 0.080)
N (0.978, 0.795, 0.898)

Results
As for the crystal system: cubic. The density of states at the Fermi level is 0.3912 states/eV per atom. The calculation puts the uncorrected energy at -8.0836 eV/atom. The magnetic moment is 0.00 Bohr magnetons per cell. As for the raw formation energy: -427 meV per atom.

***

Material: LiPa3N4
Method: DFT, PBE
State: relaxed

Cell: 4.848 4.848 4.848 Å, 90.00 90.00 90.00°
Sites, in units of the cell vectors:
Li (0.000, 0.000, 0.000)
Pa (0.000, 0.500, 0.500)
Pa (0.500, 0.000, 0.500)
Pa (0.500, 0.500, 0.000)
N (0.000, 0.000, 0.500)
N (0.000, 0.500, 0.000)
N (0.500, 0.000, 0.000)
N (0.500, 0.500, 0.500)

Results
As for the crystal system: cubic. The density of states at the Fermi level is 1.0139 states/eV per atom. The calculation puts the uncorrected energy at -9.3412 eV/atom. The magnetic moment is 0.00 Bohr magnetons per cell. As for the raw formation energy: -1378 meV per atom.